Record 1
BaYZn2 | PBEsol | optimized geometry

Magnetization, μB per atom: 0.00
Distance to the lowest polymorph of the same formula, meV/atom: 329
DOS at the Fermi energy, states/eV per atom: 1.302
DFT formation energy, eV per atom: 0.113

Lattice parameters (Å, degrees): 4.453 4.453 6.073 111.51 111.51 90.00
Atoms (fractional coordinates):
Zn (0.750, 0.250, 0.500)
Ba (0.500, 0.500, 0.000)
Zn (0.000, 0.000, 0.000)
Y (0.250, 0.750, 0.500)


Record 2
TlSiSe | PBEsol | optimized geometry

Magnetization, μB per atom: 0.00
Distance to the lowest polymorph of the same formula, meV/atom: 662
Formation energy without anion corrections, eV/atom: 0.6478
DOS at the Fermi energy, states/eV per atom: 0.877

Lattice parameters (Å, degrees): 4.788 4.788 4.788 60.00 60.00 60.00
Atoms (fractional coordinates):
Tl (0.250, 0.250, 0.250)
Si (0.500, 0.500, 0.500)
Se (0.000, 0.000, 0.000)


Record 3
NiCF3 | PBEsol | optimized geometry

Magnetization, μB per atom: 0.21
Formation energy without anion corrections, eV/atom: 0.3832
DOS at the Fermi energy, states/eV per atom: 2.056

Lattice parameters (Å, degrees): 3.722 3.722 3.722 90.00 90.00 90.00
Atoms (fractional coordinates):
C (0.000, 0.000, 0.000)
F (0.000, 0.500, 0.000)
Ni (0.500, 0.500, 0.500)
F (0.500, 0.000, 0.000)
F (0.000, 0.000, 0.500)


Record 4
CeFeCo | PBEsol | optimized geometry

Magnetization, μB per atom: 0.39
DOS at the Fermi energy, states/eV per atom: 1.321
DFT formation energy, eV per atom: -0.169

Lattice parameters (Å, degrees): 4.733 4.975 4.975 60.98 61.60 61.60
Atoms (fractional coordinates):
Fe (0.500, 0.500, 0.000)
Fe (0.000, 0.500, 0.000)
Co (0.500, 0.500, 0.500)
Co (0.500, 0.000, 0.000)
Ce (0.124, 0.126, 0.626)
Ce (0.876, 0.874, 0.374)


Record 5
Cd4Ag | PBEsol | optimized geometry

Magnetization, μB per atom: 0.00
Distance to the lowest polymorph of the same formula, meV/atom: 0
DOS at the Fermi energy, states/eV per atom: 0.306
DFT formation energy, eV per atom: -0.013

Lattice parameters (Å, degrees): 4.236 5.235 5.235 80.58 66.13 66.13
Atoms (fractional coordinates):
Cd (0.398, 0.805, 0.398)
Cd (0.203, 0.398, 0.195)
Ag (0.000, 0.000, 0.000)
Cd (0.602, 0.195, 0.602)
Cd (0.797, 0.602, 0.805)


Record 6
K2InAu | PBEsol | optimized geometry

Magnetization, μB per atom: 0.00
DOS at the Fermi energy, states/eV per atom: 0.487
DFT formation energy, eV per atom: 0.036

Lattice parameters (Å, degrees): 5.064 4.846 4.846 90.00 90.00 90.00
Atoms (fractional coordinates):
Au (0.500, 0.500, 0.500)
K (0.000, 0.000, 0.500)
K (0.000, 0.500, 0.000)
In (0.500, 0.000, 0.000)


Record 7
Ba3UIn2O9 | PBEsol | optimized geometry

Magnetization, μB per atom: 0.00
Formation energy without anion corrections, eV/atom: -2.5882
DOS at the Fermi energy, states/eV per atom: 0.000

Lattice parameters (Å, degrees): 5.996 8.521 10.436 114.10 106.70 90.00
Atoms (fractional coordinates):
Ba (0.500, 0.772, 0.000)
O (0.166, 0.915, 0.830)
O (0.007, 0.251, 0.502)
O (0.993, 0.749, 0.498)
In (0.000, 0.000, 0.000)
In (0.000, 0.500, 0.000)
O (0.668, 0.911, 0.335)
O (0.495, 0.251, 0.502)
O (0.833, 0.588, 0.175)
U (0.668, 0.668, 0.336)
O (0.332, 0.575, 0.665)
Ba (0.500, 0.228, 0.000)
Ba (0.844, 0.607, 0.689)
O (0.668, 0.425, 0.335)
O (0.000, 0.745, 0.000)
O (0.657, 0.412, 0.825)
O (0.335, 0.085, 0.170)
O (0.167, 0.412, 0.825)
Ba (0.844, 0.082, 0.689)
O (0.000, 0.255, 0.000)
Ba (0.156, 0.393, 0.311)
Ba (0.156, 0.918, 0.311)
O (0.332, 0.089, 0.665)
O (0.505, 0.749, 0.498)
O (0.834, 0.085, 0.170)
O (0.343, 0.588, 0.175)
U (0.332, 0.332, 0.664)
O (0.665, 0.915, 0.830)
In (0.333, 0.833, 0.666)
In (0.667, 0.167, 0.334)


Record 8
Mg2TeMo | PBEsol | optimized geometry

Magnetization, μB per atom: 0.00
Formation energy without anion corrections, eV/atom: 0.2307
DOS at the Fermi energy, states/eV per atom: 0.709

Lattice parameters (Å, degrees): 3.070 4.701 5.733 90.00 105.94 90.00
Atoms (fractional coordinates):
Te (0.433, 0.500, 0.740)
Mo (0.310, 0.000, 0.499)
Mg (0.058, 0.000, 0.984)
Mg (0.698, 0.500, 0.277)


Record 9
ScSiOsO2 | PBEsol | optimized geometry

Magnetization, μB per atom: 0.00
Formation energy without anion corrections, eV/atom: -0.3645
DOS at the Fermi energy, states/eV per atom: 1.066

Lattice parameters (Å, degrees): 3.740 3.740 5.878 90.00 90.00 90.00
Atoms (fractional coordinates):
Os (0.000, 0.000, 0.000)
Si (0.500, 0.500, 0.500)
Sc (0.000, 0.000, 0.500)
O (0.500, 0.000, 0.000)
O (0.000, 0.500, 0.000)


Record 10
TaTlCo2 | PBEsol | optimized geometry

Magnetization, μB per atom: 0.11
Distance to the lowest polymorph of the same formula, meV/atom: 239
DOS at the Fermi energy, states/eV per atom: 0.862
DFT formation energy, eV per atom: 0.307

Lattice parameters (Å, degrees): 3.253 3.253 5.723 90.00 90.00 90.00
Atoms (fractional coordinates):
Ta (0.000, 0.000, 0.426)
Co (0.000, 0.000, 0.022)
Co (0.500, 0.500, 0.268)
Tl (0.500, 0.500, 0.784)


Record 11
Ca2AgSbPd | PBEsol | optimized geometry

Magnetization, μB per atom: 0.00
Formation energy without anion corrections, eV/atom: -0.0495
DOS at the Fermi energy, states/eV per atom: 0.332

Lattice parameters (Å, degrees): 4.851 5.376 5.376 90.00 90.00 90.00
Atoms (fractional coordinates):
Ca (0.000, 0.500, 0.000)
Sb (0.500, 0.500, 0.500)
Pd (0.500, 0.000, 0.000)
Ag (0.000, 0.000, 0.000)
Ca (0.000, 0.000, 0.500)


Record 12
CeSn4Pd2 | PBEsol | optimized geometry

Magnetization, μB per atom: 0.11
DOS at the Fermi energy, states/eV per atom: 1.200
DFT formation energy, eV per atom: -0.584

Lattice parameters (Å, degrees): 5.999 6.270 8.741 111.02 90.00 90.00
Atoms (fractional coordinates):
Sn (0.250, 0.850, 0.402)
Sn (0.250, 0.197, 0.827)
Pd (0.500, 0.831, 0.662)
Ce (0.250, 0.769, 0.000)
Sn (0.750, 0.150, 0.598)
Sn (0.750, 0.552, 0.402)
Sn (0.250, 0.448, 0.598)
Ce (0.750, 0.231, 0.000)
Pd (0.000, 0.831, 0.662)
Sn (0.750, 0.631, 0.827)
Sn (0.250, 0.369, 0.173)
Sn (0.750, 0.803, 0.173)
Pd (0.500, 0.169, 0.338)
Pd (0.000, 0.169, 0.338)